[1]
This record from Alexandria describes a relaxed structure of Sr3LiOs. The functional is PBE.

Summary:
Distance to the lowest polymorph of the same formula   0.00 kcal/mol of atoms
Formation energy   420 meV per atom
Space group   Pm-3m

a b c (Å): 5.881 5.881 5.881
angles (deg): 90.00 90.00 90.00
Positions (direct):
Sr 0.500 0.000 0.000
Sr 0.000 0.000 0.500
Sr 0.000 0.500 0.000
Li 0.500 0.500 0.500
Os 0.000 0.000 0.000

***

[2]
This record from Alexandria describes a relaxed structure of Pm2DyTl2Ag2. The functional is PBE.

Summary:
Formation energy   -186 meV per atom
Space group   R-3m

a b c (Å): 4.902 4.902 9.564
angles (deg): 75.15 75.15 60.00
Positions (direct):
Pm 0.876 0.876 0.373
Pm 0.124 0.124 0.627
Ag 0.610 0.610 0.170
Ag 0.390 0.390 0.830
Dy 0.000 0.000 0.000
Tl 0.738 0.738 0.785
Tl 0.262 0.262 0.215

***

[3]
This record from Alexandria describes a relaxed structure of CoC3. The functional is PBE.

Summary:
Distance to the lowest polymorph of the same formula   47.21 kcal/mol of atoms
Formation energy   2665 meV per atom
Space group   Pm-3n

a b c (Å): 3.903 3.903 3.903
angles (deg): 90.00 90.00 90.00
Last column: magnetic moment on the atom in μB.
Positions (direct):
C 0.000 0.750 0.500  0.03
C 0.750 0.500 0.000  0.03
C 0.500 0.000 0.750  0.03
C 0.500 0.000 0.250  0.03
C 0.000 0.250 0.500  0.03
C 0.250 0.500 0.000  0.03
Co 0.000 0.000 0.000  0.41
Co 0.500 0.500 0.500  0.41

***

[4]
This record from Alexandria describes a relaxed structure of LiAlTcRu2. The functional is PBE.

Summary:
Formation energy   869 meV per atom
Space group   P4/mmm

a b c (Å): 4.128 4.056 4.128
angles (deg): 90.00 90.00 90.00
Last column: magnetic moment on the atom in μB.
Positions (direct):
Ru 0.500 0.000 0.000  0.34
Ru 0.000 0.000 0.500  0.30
Li 0.000 0.000 0.000  -0.01
Al 0.000 0.500 0.000  -0.03
Tc 0.500 0.500 0.500  1.51

***

[5]
This record from Alexandria describes a relaxed structure of As2RuCl. The functional is PBE.

Summary:
Distance to the lowest polymorph of the same formula   7.64 kcal/mol of atoms
Space group   Pmm2
Energy relative to the elements, uncorrected   0.159 eV/atom

a b c (Å): 3.337 3.182 7.242
angles (deg): 90.00 90.00 90.00
Positions (direct):
Cl 0.000 0.000 0.555
As 0.000 0.000 0.961
As 0.500 0.500 0.171
Ru 0.500 0.500 0.813

***

[6]
This record from Alexandria describes a relaxed structure of Ca2AsSF. The functional is PBE.

Summary:
Space group   P4/mmm
Energy relative to the elements, uncorrected   -1.210 eV/atom

a b c (Å): 5.203 4.119 5.203
angles (deg): 90.00 90.00 90.00
Positions (direct):
F 0.000 0.000 0.000
Ca 0.500 0.000 0.000
Ca 0.000 0.000 0.500
S 0.500 0.500 0.500
As 0.000 0.500 0.000

***

[7]
This record from Alexandria describes a relaxed structure of BaInSn2Hg2. The functional is PBE.

Summary:
Formation energy   -278 meV per atom
Space group   P-3m1

a b c (Å): 5.213 5.213 7.577
angles (deg): 90.00 90.00 120.00
Positions (direct):
Hg 0.667 0.333 0.254
Hg 0.333 0.667 0.746
Sn 0.333 0.667 0.320
Sn 0.667 0.333 0.680
Ba 0.000 0.000 0.000
In 0.000 0.000 0.500

***

[8]
This record from Alexandria describes a relaxed structure of Be2ReOs. The functional is PBE.

Summary:
Distance to the lowest polymorph of the same formula   3.53 kcal/mol of atoms
Formation energy   4 meV per atom
Space group   F222

a b c (Å): 4.140 4.140 4.050
angles (deg): 119.99 119.99 91.27
Positions (direct):
Be 0.000 0.000 0.000
Be 0.250 0.750 0.500
Re 0.750 0.250 0.500
Os 0.501 0.499 0.000

***

Q: Which formula does entry 8 have?
A: Be2ReOs

***

Copy entry 5 word for word.
This record from Alexandria describes a relaxed structure of As2RuCl. The functional is PBE.

Summary:
Distance to the lowest polymorph of the same formula   7.64 kcal/mol of atoms
Space group   Pmm2
Energy relative to the elements, uncorrected   0.159 eV/atom

a b c (Å): 3.337 3.182 7.242
angles (deg): 90.00 90.00 90.00
Positions (direct):
Cl 0.000 0.000 0.555
As 0.000 0.000 0.961
As 0.500 0.500 0.171
Ru 0.500 0.500 0.813